## Li2ErGe (PBE)

Data for an optimized crystal structure of Li2ErGe.

Unit cell a=6.4528 b=6.4528 c=6.4528 alpha=90.00 beta=90.00 gamma=90.00
Closest atoms and distances in Å follow each position.
Space group Fm-3m (No. 225)
Inequivalent atoms, fractional coordinates:
1 Li 0.2500 0.2500 0.2500 x8  4 Ge 2.79, 4 Er 2.79
2 Er 0.0000 0.0000 0.0000 x4  8 Li 2.79
3 Ge 0.0000 0.0000 0.5000 x4  8 Li 2.79

## Properties
Electronic total energy in eV per atom: -3.561
Calculated formation energy in eV per atom: -0.309
Calculated volume in Å³ per cell: 268.68